No. 1
Computed, not measured: a geometry-optimized Cu2WSe structure at the PBE level of DFT.

Computed properties:
**DOS at the Fermi energy**: 3.14 states/eV/f.u.
**Electronic total energy**: -22.142 eV for the cell shown
**Crystal system**: tetragonal
**Raw formation energy**: 60 kJ per mole of atoms

Unit cell a=3.697 b=3.697 c=4.242 alpha=90.00 beta=90.00 gamma=90.00
Positions (direct):
Cu: 0.000 0.500 0.000
Cu: 0.500 0.000 0.000
W: 0.000 0.000 0.500
Se: 0.500 0.500 0.500


No. 2
Computed, not measured: a geometry-optimized Rb5Ti6AgSe27 structure at the PBE level of DFT.

Computed properties:
**Electronic total energy**: -363.606 eV for the cell shown
**Crystal system**: trigonal
**Raw formation energy**: -81 kJ per mole of atoms

Unit cell a=13.705 b=13.705 c=14.056 alpha=90.00 beta=90.00 gamma=120.00
Positions (direct):
Rb: 0.037 0.375 0.000
Rb: 0.333 0.667 0.175
Rb: 0.333 0.667 0.814
Rb: 0.339 0.963 0.000
Rb: 0.375 0.037 0.500
Rb: 0.625 0.661 0.000
Rb: 0.661 0.625 0.500
Rb: 0.667 0.333 0.314
Rb: 0.667 0.333 0.675
Rb: 0.963 0.339 0.500
Ti: 0.014 0.680 0.124
Ti: 0.016 0.671 0.865
Ti: 0.320 0.334 0.124
Ti: 0.329 0.345 0.865
Ti: 0.334 0.320 0.624
Ti: 0.345 0.329 0.365
Ti: 0.655 0.984 0.865
Ti: 0.666 0.986 0.124
Ti: 0.671 0.016 0.365
Ti: 0.680 0.014 0.624
Ti: 0.984 0.655 0.365
Ti: 0.986 0.666 0.624
Ag: 0.000 0.000 0.250
Ag: 0.000 0.000 0.750
Se: 0.014 0.527 0.738
Se: 0.077 0.882 0.870
Se: 0.098 0.892 0.139
Se: 0.108 0.206 0.139
Se: 0.115 0.796 0.493
Se: 0.118 0.195 0.870
Se: 0.129 0.589 0.359
Se: 0.139 0.665 0.998
Se: 0.154 0.815 0.749
Se: 0.159 0.800 0.248
Se: 0.184 0.692 0.582
Se: 0.185 0.339 0.749
Se: 0.195 0.118 0.370
Se: 0.200 0.359 0.248
Se: 0.204 0.318 0.493
Se: 0.206 0.108 0.639
Se: 0.308 0.492 0.582
Se: 0.318 0.204 0.993
Se: 0.335 0.474 0.998
Se: 0.339 0.185 0.249
Se: 0.359 0.200 0.748
Se: 0.411 0.540 0.359
Se: 0.460 0.871 0.359
Se: 0.473 0.487 0.738
Se: 0.474 0.335 0.498
Se: 0.487 0.473 0.238
Se: 0.492 0.308 0.082
Se: 0.508 0.816 0.582
Se: 0.513 0.986 0.738
Se: 0.526 0.861 0.998
Se: 0.527 0.014 0.238
Se: 0.540 0.411 0.859
Se: 0.589 0.129 0.859
Se: 0.641 0.841 0.248
Se: 0.661 0.846 0.749
Se: 0.665 0.139 0.498
Se: 0.682 0.885 0.493
Se: 0.692 0.184 0.082
Se: 0.794 0.902 0.139
Se: 0.796 0.115 0.993
Se: 0.800 0.159 0.748
Se: 0.805 0.923 0.870
Se: 0.815 0.154 0.249
Se: 0.816 0.508 0.082
Se: 0.841 0.641 0.748
Se: 0.846 0.661 0.249
Se: 0.861 0.526 0.498
Se: 0.871 0.460 0.859
Se: 0.882 0.077 0.370
Se: 0.885 0.682 0.993
Se: 0.892 0.098 0.639
Se: 0.902 0.794 0.639
Se: 0.923 0.805 0.370
Se: 0.986 0.513 0.238


No. 3
Computed, not measured: a geometry-optimized ErSi2Te6 structure at the PBE level of DFT.

Computed properties:
**DOS at the Fermi energy**: 6.30 states/eV/f.u.
**Electronic total energy**: -73.554 eV for the cell shown
**Crystal system**: monoclinic
**Raw formation energy**: -27 kJ per mole of atoms

Unit cell a=9.508 b=9.508 c=7.509 alpha=103.89 beta=103.89 gamma=80.98
Positions (direct):
Er: 0.124 0.876 0.750
Er: 0.876 0.124 0.250
Si: 0.212 0.374 0.748
Si: 0.374 0.212 0.248
Si: 0.626 0.788 0.752
Si: 0.788 0.626 0.252
Te: 0.027 0.189 0.666
Te: 0.072 0.612 0.864
Te: 0.189 0.027 0.166
Te: 0.309 0.441 0.492
Te: 0.388 0.928 0.636
Te: 0.441 0.309 0.992
Te: 0.559 0.691 0.008
Te: 0.612 0.072 0.364
Te: 0.691 0.559 0.508
Te: 0.811 0.973 0.834
Te: 0.928 0.388 0.136
Te: 0.973 0.811 0.334


No. 4
Computed, not measured: a geometry-optimized Pr2Pu3Pt4 structure at the PBE level of DFT.

Computed properties:
**DOS at the Fermi energy**: 29.40 states/eV/f.u.
**Electronic total energy**: -169.182 eV for the cell shown
**Crystal system**: monoclinic

Unit cell a=7.749 b=7.795 c=7.657 alpha=90.00 beta=109.71 gamma=90.00
Positions (direct):
Pr: 0.191 0.176 0.067
Pr: 0.191 0.324 0.567
Pr: 0.809 0.676 0.433
Pr: 0.809 0.824 0.933
Pu: 0.246 0.667 0.241
Pu: 0.246 0.833 0.741
Pu: 0.500 0.000 0.500
Pu: 0.500 0.500 0.000
Pu: 0.754 0.167 0.259
Pu: 0.754 0.333 0.759
Pt: 0.080 0.540 0.846
Pt: 0.080 0.960 0.346
Pt: 0.495 0.131 0.869
Pt: 0.495 0.369 0.369
Pt: 0.505 0.631 0.631
Pt: 0.505 0.869 0.131
Pt: 0.920 0.040 0.654
Pt: 0.920 0.460 0.154


No. 5
Computed, not measured: a geometry-optimized La3PPb structure at the PBE level of DFT.

Computed properties:
**DOS at the Fermi energy**: 3.91 states/eV/f.u.
**Electronic total energy**: -114.367 eV for the cell shown
**Energy relative to the lowest polymorph listed for this composition**: 0 meV per atom
**Crystal system**: orthorhombic

Unit cell a=8.933 b=4.480 c=15.860 alpha=90.00 beta=90.00 gamma=90.00
Positions (direct):
La: 0.022 0.250 0.107
La: 0.152 0.250 0.513
La: 0.184 0.750 0.286
La: 0.316 0.250 0.786
La: 0.348 0.750 0.013
La: 0.478 0.750 0.607
La: 0.522 0.250 0.393
La: 0.652 0.250 0.987
La: 0.684 0.750 0.214
La: 0.816 0.250 0.714
La: 0.848 0.750 0.487
La: 0.978 0.750 0.893
P: 0.173 0.250 0.944
P: 0.327 0.750 0.444
P: 0.673 0.250 0.556
P: 0.827 0.750 0.056
Pb: 0.095 0.750 0.677
Pb: 0.405 0.250 0.177
Pb: 0.595 0.750 0.823
Pb: 0.905 0.250 0.323


No. 6
Computed, not measured: a geometry-optimized Be2PC structure at the PBE level of DFT.

Computed properties:
**DOS at the Fermi energy**: 1.53 states/eV/f.u.
**Electronic total energy**: -68.075 eV for the cell shown
**Crystal system**: cubic

Unit cell a=5.370 b=5.370 c=5.370 alpha=90.00 beta=90.00 gamma=90.00
Positions (direct):
Be: 0.250 0.250 0.250
Be: 0.250 0.250 0.750
Be: 0.250 0.750 0.250
Be: 0.250 0.750 0.750
Be: 0.750 0.250 0.250
Be: 0.750 0.250 0.750
Be: 0.750 0.750 0.250
Be: 0.750 0.750 0.750
P: 0.000 0.000 0.000
P: 0.000 0.500 0.500
P: 0.500 0.000 0.500
P: 0.500 0.500 0.000
C: 0.000 0.000 0.500
C: 0.000 0.500 0.000
C: 0.500 0.000 0.000
C: 0.500 0.500 0.500


No. 7
Computed, not measured: a geometry-optimized CeGdCdSi structure at the PBE level of DFT.

Computed properties:
**DOS at the Fermi energy**: 8.86 states/eV/f.u.
**Electronic total energy**: -110.795 eV for the cell shown
**Crystal system**: cubic
**Raw formation energy**: -32 kJ per mole of atoms

Unit cell a=7.345 b=7.345 c=7.345 alpha=90.00 beta=90.00 gamma=90.00
Positions (direct):
Ce: 0.000 0.000 0.000
Ce: 0.000 0.500 0.500
Ce: 0.500 0.000 0.500
Ce: 0.500 0.500 0.000
Gd: 0.000 0.000 0.500
Gd: 0.000 0.500 0.000
Gd: 0.500 0.000 0.000
Gd: 0.500 0.500 0.500
Cd: 0.250 0.250 0.750
Cd: 0.250 0.750 0.250
Cd: 0.750 0.250 0.250
Cd: 0.750 0.750 0.750
Si: 0.250 0.250 0.250
Si: 0.250 0.750 0.750
Si: 0.750 0.250 0.750
Si: 0.750 0.750 0.250


No. 8
Computed, not measured: a geometry-optimized InPbBr2 structure at the PBE level of DFT.

Computed properties:
**DOS at the Fermi energy**: 0.75 states/eV/f.u.
**Electronic total energy**: -23.642 eV for the cell shown
**Energy relative to the lowest polymorph listed for this composition**: 33 meV per atom
**Crystal system**: monoclinic
**Raw formation energy**: -49 kJ per mole of atoms

Unit cell a=9.320 b=3.740 c=7.568 alpha=90.00 beta=99.01 gamma=90.00
Positions (direct):
In: 0.000 0.000 0.000
In: 0.500 0.500 0.000
Pb: 0.000 0.500 0.500
Pb: 0.500 0.000 0.500
Br: 0.241 0.500 0.259
Br: 0.259 0.000 0.741
Br: 0.741 0.000 0.259
Br: 0.759 0.500 0.741